# 1
{
  "formula": "ThGeSb",
  "functional": "PBE",
  "state": "optimized geometry",
  "vol_a3_per_atom": 30.81,
  "mass_density_g_cm3": 7.66,
  "total_energy_ry_per_atom": -0.39748,
  "cell": [[0.000, 3.589, 3.589], [3.589, 0.000, 3.589], [3.589, 3.589, 0.000]],
  "species": ["Th", "Ge", "Sb"],
  "frac_coords": [[0.000, 0.000, 0.000], [0.500, 0.500, 0.500], [0.750, 0.750, 0.750]]
}

=====

# 2
{
  "formula": "AcLu",
  "functional": "PBE",
  "state": "optimized geometry",
  "vol_a3_per_atom": 36.61,
  "formation_enthalpy_0k_ev_per_atom": 0.136,
  "e_above_lowest_polymorph_ev_per_atom": 0.0000,
  "mass_density_g_cm3": 9.12,
  "cell": [[3.789, 0.000, 0.000], [-1.894, 3.281, 0.000], [0.000, 0.000, 5.889]],
  "species": ["Ac", "Lu"],
  "frac_coords": [[0.000, 0.000, 0.000], [0.667, 0.333, 0.500]]
}

=====

# 3
{
  "formula": "CsDyTmSe3",
  "functional": "PBE",
  "state": "optimized geometry",
  "vol_a3_per_atom": 34.12,
  "e_above_lowest_polymorph_ev_per_atom": 0.0304,
  "mass_density_g_cm3": 5.69,
  "cell": [[2.247, -8.230, 0.000], [2.247, 8.230, 0.000], [0.000, 0.000, 11.072]],
  "species": ["Cs", "Cs", "Dy", "Dy", "Tm", "Tm", "Se", "Se", "Se", "Se", "Se", "Se"],
  "frac_coords": [[0.239, 0.761, 0.750], [0.761, 0.239, 0.250], [0.033, 0.967, 0.250], [0.967, 0.033, 0.750], [0.500, 0.500, 0.000], [0.500, 0.500, 0.500], [0.114, 0.886, 0.038], [0.114, 0.886, 0.462], [0.440, 0.560, 0.250], [0.560, 0.440, 0.750], [0.886, 0.114, 0.538], [0.886, 0.114, 0.962]]
}

=====

# 4
{
  "formula": "Lu4Zr2Ge3N3",
  "functional": "PBE",
  "state": "optimized geometry",
  "vol_a3_per_atom": 17.02,
  "mass_density_g_cm3": 9.29,
  "total_energy_ry_per_atom": -0.54251,
  "cell": [[5.047, -2.918, 0.000], [5.047, 2.918, 0.000], [-3.352, 0.000, 13.868]],
  "species": ["Lu", "Lu", "Lu", "Lu", "Lu", "Lu", "Lu", "Lu", "Zr", "Zr", "Zr", "Zr", "Ge", "Ge", "Ge", "Ge", "Ge", "Ge", "N", "N", "N", "N", "N", "N"],
  "frac_coords": [[0.035, 0.196, 0.095], [0.134, 0.302, 0.405], [0.196, 0.035, 0.595], [0.302, 0.134, 0.905], [0.698, 0.866, 0.095], [0.804, 0.965, 0.405], [0.866, 0.698, 0.595], [0.965, 0.804, 0.905], [0.360, 0.529, 0.084], [0.471, 0.640, 0.416], [0.529, 0.360, 0.584], [0.640, 0.471, 0.916], [0.114, 0.886, 0.250], [0.290, 0.428, 0.750], [0.428, 0.290, 0.250], [0.572, 0.710, 0.750], [0.710, 0.572, 0.250], [0.886, 0.114, 0.750], [0.000, 0.500, 0.000], [0.162, 0.669, 0.500], [0.331, 0.838, 0.000], [0.500, 0.000, 0.500], [0.669, 0.162, 0.000], [0.838, 0.331, 0.500]]
}

=====

# 5
{
  "formula": "Ho3Hf3FeTe2",
  "functional": "PBE",
  "state": "optimized geometry",
  "vol_a3_per_atom": 23.28,
  "e_above_lowest_polymorph_ev_per_atom": 0.0000,
  "mass_density_g_cm3": 10.63,
  "cell": [[8.002, 0.000, 0.000], [-4.001, 6.930, 0.000], [0.000, 0.000, 3.778]],
  "species": ["Ho", "Ho", "Ho", "Hf", "Hf", "Hf", "Fe", "Te", "Te"],
  "frac_coords": [[0.000, 0.396, 0.000], [0.396, 0.000, 0.000], [0.604, 0.604, 0.000], [0.000, 0.774, 0.500], [0.226, 0.226, 0.500], [0.774, 0.000, 0.500], [0.000, 0.000, 0.000], [0.333, 0.667, 0.500], [0.667, 0.333, 0.500]]
}

=====

# 6
{
  "formula": "YTmGeCl2",
  "functional": "PBE",
  "state": "optimized geometry",
  "vol_a3_per_atom": 27.24,
  "mass_density_g_cm3": 4.89,
  "total_energy_ry_per_atom": -0.40266,
  "cell": [[4.051, 0.000, 0.000], [-2.025, 3.508, 0.000], [0.000, 0.000, 9.583]],
  "species": ["Y", "Tm", "Ge", "Cl", "Cl"],
  "frac_coords": [[0.000, 0.000, 0.000], [0.333, 0.667, 0.666], [0.667, 0.333, 0.830], [0.000, 0.000, 0.505], [0.333, 0.667, 0.164]]
}

=====

Number 1: spin magnetization 0.001 μB/f.u.. Number 2: spin magnetization 0.001 μB/f.u.. Number 3: spin magnetization 0.153 μB/f.u.. Number 4: spin magnetization 0.000 μB/f.u.. Number 5: spin magnetization 0.902 μB/f.u.. Number 6: spin magnetization 0.011 μB/f.u..